The following is a DFT calculation (PBE) of HoMo after structural relaxation.

Properties
The value obtained for the calculated formation energy is 2413 meV/atom.

Unit cell a=4.5257 b=4.5257 c=4.5257 alpha=60.00 beta=60.00 gamma=60.00
Last column: nearest neighbours and their distance in Å.
Positions (direct):
1 Ho 0.0000 0.0000 0.0000  4 Mo 2.77
2 Mo 0.7500 0.7500 0.7500  4 Ho 2.77

***

The following is a DFT calculation (PBE) of HoMo after structural relaxation.

Properties
The value obtained for the calculated formation energy is 1331 meV/atom.

Unit cell a=4.0426 b=4.0426 c=4.0426 alpha=60.00 beta=60.00 gamma=60.00
Last column: nearest neighbours and their distance in Å.
Positions (direct):
1 Ho 0.0000 0.0000 0.0000  6 Mo 2.86
2 Mo 0.5000 0.5000 0.5000  6 Ho 2.86

***

Question: Among the records above, which one has the highest calculated formation energy?
Answer: number 1

***

Question: Which formula does entry 2 have?
Answer: HoMo

***

Question: Among the records above, which one has the lowest calculated formation energy?
Answer: number 2

***

Question: Among the records above, which one has the lowest calculated formation energy?
Answer: number 2